VASP calculation (PBE-GGA) on a geometry-optimized CaHfScIr2 structure.

Lattice parameters (Å, degrees): 4.3963 4.3963 6.4914 109.79 109.79 90.00
Sites, in units of the cell vectors:
Ca  0.0000  0.0000  0.0000
Hf  0.7500  0.2500  0.5000
Sc  0.2500  0.7500  0.5000
Ir  0.6141  0.6141  0.2283
Ir  0.3859  0.3859  0.7717

## Properties
energy of formation = -0.75 eV/atom
calculated total energy = -39.78 eV per cell
DOS at the Fermi energy = 2.36 states/eV per cell
symmetry = No. 119